<P>
CdPIrO2 | GGA-PBE | optimized geometry

volume	90	Å³/cell
space group	P4/mmm (123)

abc: 3.864 3.864 6.061
angles: 90.00 90.00 90.00
Site moments in Bohr magnetons follow the coordinates.
Sites, in units of the cell vectors:
1 P 0.000 0.000 0.500  0.02
2 Ir 0.500 0.500 0.500  0.84
3 O 0.000 0.500 0.000  0.43
4 O 0.500 0.000 0.000  0.43
5 Cd 0.000 0.000 0.000  0.05

---

<Q>
CdPIrO2 | GGA-PBE | optimized geometry

volume	77	Å³/cell
space group	P4/mmm (123)

abc: 3.808 3.808 5.325
angles: 90.00 90.00 90.00
Sites, in units of the cell vectors:
1 P 0.000 0.000 0.500
2 Ir 0.000 0.000 0.000
3 O 0.000 0.500 0.000
4 O 0.500 0.000 0.000
5 Cd 0.500 0.500 0.500

---

<Q> is preferred energetically. Next in line: 1.275 eV/atom higher.

---

<P>
CdP2IrO | GGA-PBE | optimized geometry

volume	90	Å³/cell
space group	P4/mmm (123)

abc: 4.922 4.922 3.703
angles: 90.00 90.00 90.00
Sites, in units of the cell vectors:
1 P 0.000 0.500 0.000
2 P 0.500 0.000 0.000
3 Ir 0.000 0.000 0.000
4 O 0.000 0.000 0.500
5 Cd 0.500 0.500 0.500

---

<Q>
CdP2IrO | GGA-PBE | optimized geometry

volume	93	Å³/cell
space group	P4/mmm (123)

abc: 4.926 4.926 3.822
angles: 90.00 90.00 90.00
Sites, in units of the cell vectors:
1 P 0.000 0.500 0.000
2 P 0.500 0.000 0.000
3 Ir 0.500 0.500 0.500
4 O 0.000 0.000 0.500
5 Cd 0.000 0.000 0.000

---

<P> is preferred energetically. Next in line: 1.211 eV/atom higher.

---

<P>
Cd2IrOs | GGA-PBE | optimized geometry

volume	70	Å³/cell
space group	Cmm2 (35)

abc: 2.835 2.835 10.057
angles: 90.00 90.00 120.33
Site moments in Bohr magnetons follow the coordinates.
Sites, in units of the cell vectors:
1 Ir 0.000 0.000 0.515  0.02
2 Os 0.500 0.500 0.734  0.16
3 Cd 0.000 0.000 0.985  0.00
4 Cd 0.500 0.500 0.266  0.00

---

<Q>
Cd2IrOs | GGA-PBE | optimized geometry

volume	67	Å³/cell
space group	C2/m (12)

abc: 4.969 4.969 5.038
angles: 80.96 80.96 33.12
Sites, in units of the cell vectors:
1 Ir 0.250 0.250 0.250
2 Os 0.750 0.750 0.750
3 Cd 0.999 0.999 0.001
4 Cd 0.501 0.501 0.499

---

<R>
Cd2IrOs | GGA-PBE | optimized geometry

volume	68	Å³/cell
space group	Pmmm (47)

abc: 2.819 4.307 5.615
angles: 90.00 90.00 90.00
Sites, in units of the cell vectors:
1 Ir 0.500 0.500 0.250
2 Os 0.500 0.500 0.750
3 Cd 0.000 0.000 0.001
4 Cd 0.000 0.000 0.499

---

<P> is preferred energetically. Next in line: 0.018 eV/atom higher.